Record 1
19
Lattice="8.609 -0.059 -0.070 -1.363 8.501 -0.070 -1.363 -1.588 8.351" Properties=species:S:1:pos:R:3 comment="Ce12PuSb6, relaxed, DFT PBE" spacegroup="R-3, No. 148" mass_density_g_cm3=7.2 formation_energy_uncorrected_kj_per_mol_fu=-1009 pbc="T T T"
Ce 5.515 4.039 3.576
Ce 1.929 5.875 4.613
Ce 3.156 2.435 6.605
Ce 0.368 2.816 4.635
Ce 3.954 0.979 3.599
Ce 2.727 4.419 1.606
Ce 0.161 -0.450 2.413
Ce 6.352 4.496 7.690
Ce 3.481 6.322 8.222
Ce 5.722 7.304 5.798
Ce -0.469 2.358 0.521
Ce 2.402 0.532 -0.011
Pu 0.000 0.000 0.000
Sb 4.413 6.931 2.864
Sb 4.990 2.253 0.880
Sb -0.298 5.003 2.374
Sb 1.470 -0.076 5.347
Sb 0.893 4.602 7.331
Sb 6.181 1.851 5.837

---

Record 2
11
Lattice="-3.127 -0.706 4.528 -7.895 -5.790 0.440 8.583 -3.255 2.024" Properties=species:S:1:pos:R:3 comment="Pm5Tm6, relaxed, DFT PBE" ef_ev_per_atom=0.1157 spacegroup="Immm, No. 71" mass_density_g_cm3=8.0 de_polymorph_ev_per_fu=0.00 pbc="T T T"
Pm -5.511 -3.248 2.484
Pm -2.440 -4.894 0.949
Pm 3.128 -4.151 1.514
Pm -2.715 -6.957 3.837
Pm 0.276 -2.793 3.154
Tm -8.475 -5.094 3.546
Tm -2.547 -1.401 1.422
Tm 3.205 -3.323 5.097
Tm 0.400 -6.315 2.689
Tm -5.645 -6.428 1.894
Tm -2.839 -3.435 4.301

---

Record 3
16
Lattice="4.253 0.000 0.000 0.000 4.253 0.000 0.000 0.000 16.797" Properties=species:S:1:pos:R:3 comment="Er3Ga12Au, relaxed, DFT PBE" ef_ev_per_atom=-0.3837 spacegroup="P4/mmm, No. 123" mass_density_g_cm3=8.4 pbc="T T T"
Er 0.000 0.000 4.128
Er 0.000 0.000 8.399
Er 0.000 0.000 12.670
Ga 2.126 2.126 0.000
Ga 2.126 2.126 4.266
Ga 2.126 2.126 8.399
Ga 2.126 2.126 12.531
Ga 2.126 0.000 1.932
Ga 2.126 0.000 6.263
Ga 2.126 0.000 10.535
Ga 2.126 0.000 14.865
Ga 0.000 2.126 1.932
Ga 0.000 2.126 6.263
Ga 0.000 2.126 10.535
Ga 0.000 2.126 14.865
Au 0.000 0.000 0.000

---

Record 4
5
Lattice="-2.212 2.711 4.053 3.208 -2.542 3.452 3.672 3.854 -0.574" Properties=species:S:1:pos:R:3 comment="NaCaCd3, relaxed, DFT PBE" ef_ev_per_atom=0.2157 spacegroup="Pm-3m, No. 221" mass_density_g_cm3=4.3 de_polymorph_ev_per_fu=1.98 pbc="T T T"
Na 0.000 0.000 0.000
Ca 2.334 2.012 3.465
Cd 1.604 -1.271 1.726
Cd 1.836 1.927 -0.287
Cd -1.106 1.356 2.026

---

Record 5
6
Lattice="0.000 3.705 3.705 3.705 0.000 3.705 3.705 3.705 0.000" Properties=species:S:1:pos:R:3 comment="AgRuW4, relaxed, DFT PBE" ef_ev_per_atom=0.6138 spacegroup="F-43m, No. 216" mass_density_g_cm3=15.4 pbc="T T T"
Ag 5.557 5.557 5.557
Ru 0.000 0.000 0.000
W 2.787 4.623 4.623
W 4.623 4.623 2.787
W 4.623 2.787 4.623
W 2.787 2.787 2.787

---

Record 6
18
Lattice="-0.792 -8.254 0.593 7.098 -4.177 1.125 1.107 -3.136 7.618" Properties=species:S:1:pos:R:3 comment="NaSr2Al3Ag12, relaxed, DFT PBE" ef_ev_per_atom=0.2085 spacegroup="R-3m, No. 166" mass_density_g_cm3=5.8 pbc="T T T"
Na 0.000 0.000 0.000
Sr 4.478 -9.403 5.639
Sr 2.935 -6.164 3.697
Al -0.396 -4.127 0.296
Al 3.549 -2.089 0.562
Al 0.553 -1.568 3.809
Ag 3.204 -7.168 7.413
Ag 5.855 -11.910 4.422
Ag 6.756 -9.483 7.754
Ag 2.173 -9.946 3.600
Ag 3.014 -11.417 7.502
Ag 6.456 -7.733 3.888
Ag 4.210 -8.399 1.923
Ag 1.558 -3.657 4.914
Ag 0.658 -6.084 1.582
Ag 5.240 -5.621 5.736
Ag 4.399 -4.151 1.835
Ag 0.957 -7.834 5.448

---

Record 7
15
Lattice="8.342 0.000 0.000 -4.171 7.203 -0.027 0.000 -4.778 7.001" Properties=species:S:1:pos:R:3 comment="Na3Ce3ZnSe8, relaxed, DFT PBE" spacegroup="C2/m, No. 12" mass_density_g_cm3=4.7 formation_energy_uncorrected_kj_per_mol_fu=-1971 pbc="T T T"
Na 0.000 0.000 0.000
Na -2.086 3.601 -0.013
Na 2.086 3.601 -0.013
Ce 4.171 -2.389 3.500
Ce 2.086 1.212 3.487
Ce -2.086 1.212 3.487
Zn 0.000 -2.389 3.500
Se 0.000 2.404 1.829
Se 4.171 0.021 5.145
Se 4.171 2.519 1.964
Se 0.000 -0.095 5.010
Se 6.316 -1.231 1.957
Se -2.145 3.656 5.016
Se 2.026 -1.231 1.957
Se 2.145 3.656 5.016

---

Record 8
10
Lattice="-2.267 1.090 2.000 1.505 -1.402 2.469 8.599 13.467 2.404" Properties=species:S:1:pos:R:3 comment="Hf4VTc5, relaxed, DFT PBE" ef_ev_per_atom=-0.4305 spacegroup="P4/mmm, No. 123" mass_density_g_cm3=12.5 pbc="T T T"
Hf 1.670 2.616 0.467
Hf 3.419 5.355 0.956
Hf 5.180 8.112 1.448
Hf 6.929 10.851 1.937
V 0.000 0.000 0.000
Tc 0.387 1.047 2.450
Tc 2.155 3.817 2.944
Tc 3.918 6.578 3.437
Tc 5.681 9.339 3.930
Tc 7.450 12.108 4.424

---

Record 9
4
Lattice="-0.385 -2.073 -1.847 -1.018 -0.609 2.539 -8.104 3.625 -2.379" Properties=species:S:1:pos:R:3 comment="InRe2Mo, relaxed, DFT PBE" ef_ev_per_atom=0.4257 spacegroup="Cmmm, No. 65" mass_density_g_cm3=14.5 pbc="T T T"
In -2.727 -0.435 -0.249
Mo -6.779 1.378 -1.438
Re -7.974 3.567 -2.341
Re -4.181 1.870 -1.228

---

Record 10
20
Lattice="-3.776 -0.690 -1.371 1.384 0.048 -3.834 3.261 -19.710 0.931" Properties=species:S:1:pos:R:3 comment="Li15Zn4Ga, relaxed, DFT PBE" ef_ev_per_atom=-0.1037 spacegroup="P4/mmm, No. 123" mass_density_g_cm3=2.2 pbc="T T T"
Li -1.196 -0.321 -2.603
Li -0.543 -4.268 -2.416
Li 0.108 -8.205 -2.230
Li 0.761 -12.147 -2.044
Li 1.412 -16.084 -1.858
Li -1.562 -2.312 -0.593
Li -0.909 -6.262 -0.406
Li -0.257 -10.200 -0.220
Li 0.394 -14.138 -0.034
Li 1.048 -18.088 0.153
Li 1.017 -1.943 -1.824
Li 1.671 -5.893 -1.637
Li 2.323 -9.831 -1.451
Li 2.974 -13.769 -1.265
Li 3.628 -17.719 -1.078
Zn 0.651 -3.932 0.186
Zn 1.305 -7.886 0.373
Zn 1.957 -11.824 0.559
Zn 2.611 -15.778 0.746
Ga 0.000 0.000 0.000

---

Record 11
18
Lattice="-4.305 4.017 0.537 -5.091 -6.110 4.880 3.871 3.091 7.908" Properties=species:S:1:pos:R:3 comment="LaY4Ga4, relaxed, DFT PBE" ef_ev_per_atom=-0.3888 spacegroup="P4_2/n, No. 86" mass_density_g_cm3=5.0 pbc="T T T"
La 0.000 0.000 0.000
La -2.763 0.499 6.663
Y 0.178 2.309 8.965
Y -3.615 2.465 9.945
Y -4.681 -2.265 4.232
Y 0.930 1.280 5.605
Y -4.674 -0.968 10.042
Y -3.173 -3.345 7.311
Y -5.194 1.596 3.790
Y -1.874 2.920 3.410
Ga -5.274 -1.166 6.979
Ga -1.309 3.150 6.478
Ga -2.115 -2.528 9.935
Ga -1.888 4.456 8.630
Ga -6.886 -0.428 5.101
Ga -2.601 0.003 3.678
Ga -1.868 0.008 9.515
Ga -0.162 0.495 2.984

---

Record 12
5
Lattice="-1.266 -4.423 -0.847 3.348 -1.495 2.802 -2.960 0.154 3.619" Properties=species:S:1:pos:R:3 comment="ZnNi2GeIr, relaxed, DFT PBE" ef_ev_per_atom=0.8348 spacegroup="P4/mmm, No. 123" mass_density_g_cm3=7.4 pbc="T T T"
Ni -1.480 0.077 1.810
Ni -0.633 -2.212 -0.424
Ge 1.674 -0.748 1.401
Ir 0.000 0.000 0.000
Zn -0.439 -2.882 2.787